VASP calculation (PBE-GGA) on crystalline Na7Tl5 at its relaxed geometry.

Structure (CIF):
```
data_Na7Tl5
_chemical_formula_sum 'Na14 Tl10'
_symmetry_space_group_name_H-M 'C 1 2/m 1'
_symmetry_Int_Tables_number 12
_symmetry_space_group_name_Hall '-C 2y'
_cell_length_a 17.9822
_cell_length_b 3.5507
_cell_length_c 12.5820
_cell_angle_alpha 90.00
_cell_angle_beta 118.44
_cell_angle_gamma 90.00
loop_
_atom_site_label
_atom_site_type_symbol
_atom_site_fract_x
_atom_site_fract_y
_atom_site_fract_z
_atom_site_occupancy
Na1 Na 0.0000 0.0000 0.0000 1
Na2 Na 0.0325 0.5000 0.2565 1
Na3 Na 0.1456 0.0000 0.7589 1
Na4 Na 0.1692 0.0000 0.5132 1
Tl1 Tl 0.0000 0.5000 0.5000 1
Tl2 Tl 0.1634 0.5000 0.9979 1
Tl3 Tl 0.1899 0.0000 0.2442 1
```

## Properties
Its energy is -1.843 eV/atom. Its formation energy from the elements is -0.09 eV per atom. Its energy above the most stable polymorph in this dataset is 0 kJ/mol of formula units.